1:
A relaxed structure of La5Pm4Tl, computed with PBE-GGA.

Geometry as CIF:
```
data_La5Pm4Tl
_chemical_formula_sum 'La5 Pm4 Tl1'
_symmetry_space_group_name_H-M 'P 4/m m m'
_symmetry_Int_Tables_number 123
_symmetry_space_group_name_Hall '-P 4 2'
_cell_length_a 4.3057
_cell_length_b 4.3057
_cell_length_c 18.7258
_cell_angle_alpha 90.00
_cell_angle_beta 90.00
_cell_angle_gamma 90.00
loop_
_atom_site_label
_atom_site_fract_x
_atom_site_fract_y
_atom_site_fract_z
La1 0.0000 0.0000 0.0000
La2 0.0000 0.0000 0.2009
La3 0.0000 0.0000 0.4124
Pm1 0.5000 0.5000 0.1022
Pm2 0.5000 0.5000 0.3040
Tl1 0.5000 0.5000 0.5000
```

***

2:
A relaxed structure of La5Pm4Tl, computed with PBE-GGA.

Geometry as CIF:
```
data_La5Pm4Tl
_chemical_formula_sum 'La10 Pm8 Tl2'
_symmetry_space_group_name_H-M 'I 4 m m'
_symmetry_Int_Tables_number 107
_symmetry_space_group_name_Hall 'I 4 -2'
_cell_length_a 10.6201
_cell_length_b 10.6201
_cell_length_c 6.2868
_cell_angle_alpha 90.00
_cell_angle_beta 90.00
_cell_angle_gamma 90.00
loop_
_atom_site_label
_atom_site_fract_x
_atom_site_fract_y
_atom_site_fract_z
La1 0.0000 0.0000 0.0000
La2 0.1901 0.1901 0.7397
Pm1 0.0000 0.3160 0.2342
Tl1 0.0000 0.0000 0.4815
```

***

The structure with the least stability is 2.

***

1:
A relaxed structure of La4Pm5Tl, computed with PBE-GGA.

Geometry as CIF:
```
data_La4Pm5Tl
_chemical_formula_sum 'La8 Pm10 Tl2'
_symmetry_space_group_name_H-M 'I 4 m m'
_symmetry_Int_Tables_number 107
_symmetry_space_group_name_Hall 'I 4 -2'
_cell_length_a 10.9295
_cell_length_b 10.9295
_cell_length_c 6.0694
_cell_angle_alpha 90.00
_cell_angle_beta 90.00
_cell_angle_gamma 90.00
loop_
_atom_site_label
_atom_site_fract_x
_atom_site_fract_y
_atom_site_fract_z
La1 0.0000 0.3082 0.0000
Pm1 0.0000 0.0000 0.7992
Pm2 0.1856 0.1856 0.5092
Tl1 0.0000 0.0000 0.2805
```

***

2:
A relaxed structure of La4Pm5Tl, computed with PBE-GGA.

Geometry as CIF:
```
data_La4Pm5Tl
_chemical_formula_sum 'La4 Pm5 Tl1'
_symmetry_space_group_name_H-M 'P 4/m m m'
_symmetry_Int_Tables_number 123
_symmetry_space_group_name_Hall '-P 4 2'
_cell_length_a 4.2883
_cell_length_b 4.2883
_cell_length_c 18.4620
_cell_angle_alpha 90.00
_cell_angle_beta 90.00
_cell_angle_gamma 90.00
loop_
_atom_site_label
_atom_site_fract_x
_atom_site_fract_y
_atom_site_fract_z
La1 0.0000 0.0000 0.1050
La2 0.0000 0.0000 0.3031
Pm1 0.5000 0.5000 0.0000
Pm2 0.5000 0.5000 0.2113
Pm3 0.5000 0.5000 0.4130
Tl1 0.0000 0.0000 0.5000
```

***

The structure with the least stability is 1.

***

1:
A relaxed structure of La5Pm2Tl4, computed with PBE-GGA.

Geometry as CIF:
```
data_La5Pm2Tl4
_chemical_formula_sum 'La5 Pm2 Tl4'
_symmetry_space_group_name_H-M 'P 1 2/m 1'
_symmetry_Int_Tables_number 10
_cell_length_a 8.9693
_cell_length_b 3.5550
_cell_length_c 10.9551
_cell_angle_alpha 90.00
_cell_angle_beta 95.46
_cell_angle_gamma 90.00
loop_
_symmetry_equiv_pos_as_xyz
'x,y,z'
'-x,-y,-z'
'-x,y,-z'
'x,-y,z'
loop_
_atom_site_label
_atom_site_fract_x
_atom_site_fract_y
_atom_site_fract_z
La1 0.0000 0.0000 0.0000
La2 0.0401 0.0000 0.3364
La3 0.3416 0.0000 0.8601
Pm1 0.4206 0.0000 0.3624
Tl1 0.2563 0.5000 0.5777
Tl2 0.2995 0.5000 0.1244
```

***

2:
A relaxed structure of La5Pm2Tl4, computed with PBE-GGA.

Geometry as CIF:
```
data_La5Pm2Tl4
_chemical_formula_sum 'La10 Pm4 Tl8'
_symmetry_space_group_name_H-M 'I m m m'
_symmetry_Int_Tables_number 71
_symmetry_space_group_name_Hall '-I 2 2'
_cell_length_a 5.8018
_cell_length_b 9.5372
_cell_length_c 13.4870
_cell_angle_alpha 90.00
_cell_angle_beta 90.00
_cell_angle_gamma 90.00
loop_
_atom_site_label
_atom_site_fract_x
_atom_site_fract_y
_atom_site_fract_z
La1 0.0000 0.0000 0.0000
La2 0.0000 0.1764 0.2510
Pm1 0.0000 0.5000 0.3456
Tl1 0.0000 0.2241 0.5000
Tl2 0.0000 0.5000 0.1129
```

***

The structure with the least stability is 2.

***

1:
A relaxed structure of La2Pm4Tl, computed with PBE-GGA.

Geometry as CIF:
```
data_La2Pm4Tl
_chemical_formula_sum 'La4 Pm8 Tl2'
_symmetry_space_group_name_H-M 'P m n a'
_symmetry_Int_Tables_number 53
_cell_length_a 6.6754
_cell_length_b 6.5726
_cell_length_c 10.9248
_cell_angle_alpha 90.00
_cell_angle_beta 90.00
_cell_angle_gamma 90.00
loop_
_symmetry_equiv_pos_as_xyz
'x,y,z'
'-x,-y,-z'
'-x+1/2,-y,z+1/2'
'x+1/2,y,-z+1/2'
'x,-y,-z'
'-x,y,z'
'-x+1/2,y,-z+1/2'
'x+1/2,-y,z+1/2'
loop_
_atom_site_label
_atom_site_fract_x
_atom_site_fract_y
_atom_site_fract_z
La1 0.0000 0.2356 0.0007
Pm1 0.0000 0.0009 0.3267
Pm2 0.2500 0.4985 0.7500
Tl1 0.0000 0.5000 0.5000
```

***

2:
A relaxed structure of La2Pm4Tl, computed with PBE-GGA.

Geometry as CIF:
```
data_La2Pm4Tl
_chemical_formula_sum 'La4 Pm8 Tl2'
_symmetry_space_group_name_H-M 'P 1 21/m 1'
_symmetry_Int_Tables_number 11
_cell_length_a 5.8988
_cell_length_b 6.8222
_cell_length_c 11.9251
_cell_angle_alpha 90.00
_cell_angle_beta 103.36
_cell_angle_gamma 90.00
loop_
_symmetry_equiv_pos_as_xyz
'x,y,z'
'-x,-y,-z'
'-x,y+1/2,-z'
'x,-y+1/2,z'
loop_
_atom_site_label
_atom_site_fract_x
_atom_site_fract_y
_atom_site_fract_z
La1 0.0130 0.2500 0.4763
La2 0.3499 0.7500 0.0748
Pm1 0.1485 0.0063 0.7816
Pm2 0.2058 0.2500 0.0634
Pm3 0.4173 0.7500 0.3778
Tl1 0.4424 0.2500 0.3331
```

***

The structure with the least stability is 1.

***

1:
A relaxed structure of La8PmTl2, computed with PBE-GGA.

Geometry as CIF:
```
data_La8PmTl2
_chemical_formula_sum 'La16 Pm2 Tl4'
_symmetry_space_group_name_H-M 'C 1 2/m 1'
_symmetry_Int_Tables_number 12
_cell_length_a 9.1015
_cell_length_b 15.3879
_cell_length_c 6.1173
_cell_angle_alpha 90.00
_cell_angle_beta 114.76
_cell_angle_gamma 90.00
loop_
_symmetry_equiv_pos_as_xyz
'x,y,z'
'-x,-y,-z'
'-x,y,-z'
'x,-y,z'
'x+1/2,y+1/2,z'
'-x+1/2,-y+1/2,-z'
'-x+1/2,y+1/2,-z'
'x+1/2,-y+1/2,z'
loop_
_atom_site_label
_atom_site_fract_x
_atom_site_fract_y
_atom_site_fract_z
La1 0.0000 0.2250 0.0000
La2 0.1021 0.5000 0.8033
La3 0.1962 0.1083 0.5965
Pm1 0.0000 0.0000 0.0000
Tl1 0.0000 0.3051 0.5000
```

***

2:
A relaxed structure of La8PmTl2, computed with PBE-GGA.

Geometry as CIF:
```
data_La8PmTl2
_chemical_formula_sum 'La16 Pm2 Tl4'
_symmetry_space_group_name_H-M 'I m m m'
_symmetry_Int_Tables_number 71
_symmetry_space_group_name_Hall '-I 2 2'
_cell_length_a 5.2925
_cell_length_b 9.0898
_cell_length_c 16.0775
_cell_angle_alpha 90.00
_cell_angle_beta 90.00
_cell_angle_gamma 90.00
loop_
_atom_site_label
_atom_site_fract_x
_atom_site_fract_y
_atom_site_fract_z
La1 0.0000 0.0000 0.1473
La2 0.0000 0.2199 0.3394
La3 0.0000 0.3246 0.0000
Pm1 0.0000 0.5000 0.5000
Tl1 0.0000 0.5000 0.1944
```

***

The structure with the least stability is 1.

***

1:
A relaxed structure of LaPm2Tl, computed with PBE-GGA.

Geometry as CIF:
```
data_LaPm2Tl
_chemical_formula_sum 'La1 Pm2 Tl1'
_symmetry_space_group_name_H-M 'P 4/m m m'
_symmetry_Int_Tables_number 123
_symmetry_space_group_name_Hall '-P 4 2'
_cell_length_a 3.7454
_cell_length_b 3.7454
_cell_length_c 9.2267
_cell_angle_alpha 90.00
_cell_angle_beta 90.00
_cell_angle_gamma 90.00
loop_
_atom_site_label
_atom_site_fract_x
_atom_site_fract_y
_atom_site_fract_z
La1 0.0000 0.0000 0.0000
Pm1 0.5000 0.5000 0.2753
Tl1 0.0000 0.0000 0.5000
```

***

2:
A relaxed structure of LaPm2Tl, computed with PBE-GGA.

Geometry as CIF:
```
data_LaPm2Tl
_chemical_formula_sum 'La4 Pm8 Tl4'
_symmetry_space_group_name_H-M 'F m -3 m'
_symmetry_Int_Tables_number 225
_symmetry_space_group_name_Hall '-F 4 2 3'
_cell_length_a 7.9191
_cell_length_b 7.9191
_cell_length_c 7.9191
_cell_angle_alpha 90.00
_cell_angle_beta 90.00
_cell_angle_gamma 90.00
loop_
_atom_site_label
_atom_site_fract_x
_atom_site_fract_y
_atom_site_fract_z
La1 0.0000 0.0000 0.0000
Pm1 0.2500 0.2500 0.2500
Tl1 0.0000 0.0000 0.5000
```

***

3:
A relaxed structure of LaPm2Tl, computed with PBE-GGA.

Geometry as CIF:
```
data_LaPm2Tl
_chemical_formula_sum 'La2 Pm4 Tl2'
_symmetry_space_group_name_H-M 'C 1 m 1'
_symmetry_Int_Tables_number 8
_cell_length_a 6.5209
_cell_length_b 3.7655
_cell_length_c 11.2799
_cell_angle_alpha 90.00
_cell_angle_beta 101.18
_cell_angle_gamma 90.00
loop_
_symmetry_equiv_pos_as_xyz
'x,y,z'
'x,-y,z'
'x+1/2,y+1/2,z'
'x+1/2,-y+1/2,z'
loop_
_atom_site_label
_atom_site_fract_x
_atom_site_fract_y
_atom_site_fract_z
La1 0.0000 0.0000 0.0000
Pm1 0.0763 0.5000 0.7277
Pm2 0.2580 0.5000 0.2744
Tl1 0.1668 0.0000 0.5004
```

***

4:
A relaxed structure of LaPm2Tl, computed with PBE-GGA.

Geometry as CIF:
```
data_LaPm2Tl
_chemical_formula_sum 'La1 Pm2 Tl1'
_symmetry_space_group_name_H-M 'P 4/m m m'
_symmetry_Int_Tables_number 123
_symmetry_space_group_name_Hall '-P 4 2'
_cell_length_a 5.0329
_cell_length_b 5.0329
_cell_length_c 4.9254
_cell_angle_alpha 90.00
_cell_angle_beta 90.00
_cell_angle_gamma 90.00
loop_
_atom_site_label
_atom_site_fract_x
_atom_site_fract_y
_atom_site_fract_z
La1 0.0000 0.0000 0.0000
Pm1 0.0000 0.5000 0.5000
Tl1 0.5000 0.5000 0.0000
```

***

The structure with the least stability is 2.

***

1:
A relaxed structure of La6PmTl, computed with PBE-GGA.

Geometry as CIF:
```
data_La6PmTl
_chemical_formula_sum 'La6 Pm1 Tl1'
_symmetry_space_group_name_H-M 'P 4/m m m'
_symmetry_Int_Tables_number 123
_symmetry_space_group_name_Hall '-P 4 2'
_cell_length_a 5.1360
_cell_length_b 5.1360
_cell_length_c 10.4334
_cell_angle_alpha 90.00
_cell_angle_beta 90.00
_cell_angle_gamma 90.00
loop_
_atom_site_label
_atom_site_fract_x
_atom_site_fract_y
_atom_site_fract_z
La1 0.0000 0.0000 0.0000
La2 0.0000 0.0000 0.5000
La3 0.0000 0.5000 0.2448
Pm1 0.5000 0.5000 0.5000
Tl1 0.5000 0.5000 0.0000
```

***

2:
A relaxed structure of La6PmTl, computed with PBE-GGA.

Geometry as CIF:
```
data_La6PmTl
_chemical_formula_sum 'La6 Pm1 Tl1'
_symmetry_space_group_name_H-M 'P -1'
_symmetry_Int_Tables_number 2
_cell_length_a 6.6186
_cell_length_b 6.6455
_cell_length_c 9.4235
_cell_angle_alpha 110.26
_cell_angle_beta 90.13
_cell_angle_gamma 119.82
loop_
_symmetry_equiv_pos_as_xyz
'x,y,z'
'-x,-y,-z'
loop_
_atom_site_label
_atom_site_fract_x
_atom_site_fract_y
_atom_site_fract_z
La1 0.0494 0.4781 0.2847
La2 0.1904 0.1484 0.7141
La3 0.4390 0.2409 0.2829
Pm1 0.5000 0.0000 0.5000
Tl1 0.0000 0.0000 0.0000
```

***

The structure with the least stability is 2.

***

1:
A relaxed structure of LaPm3Tl, computed with PBE-GGA.

Geometry as CIF:
```
data_LaPm3Tl
_chemical_formula_sum 'La3 Pm9 Tl3'
_symmetry_space_group_name_H-M 'R -3 m'
_symmetry_Int_Tables_number 166
_symmetry_space_group_name_Hall '-R 3 2"'
_cell_length_a 10.2214
_cell_length_b 10.2214
_cell_length_c 6.4757
_cell_angle_alpha 90.00
_cell_angle_beta 90.00
_cell_angle_gamma 120.00
loop_
_atom_site_label
_atom_site_fract_x
_atom_site_fract_y
_atom_site_fract_z
La1 0.0000 0.0000 0.0000
Pm1 0.0000 0.5000 0.0000
Tl1 0.0000 0.0000 0.5000
```

***

2:
A relaxed structure of LaPm3Tl, computed with PBE-GGA.

Geometry as CIF:
```
data_LaPm3Tl
_chemical_formula_sum 'La4 Pm12 Tl4'
_symmetry_space_group_name_H-M 'P n m a'
_symmetry_Int_Tables_number 62
_cell_length_a 6.9298
_cell_length_b 10.1255
_cell_length_c 9.8420
_cell_angle_alpha 90.00
_cell_angle_beta 90.00
_cell_angle_gamma 90.00
loop_
_symmetry_equiv_pos_as_xyz
'x,y,z'
'-x,-y,-z'
'-x+1/2,-y,z+1/2'
'x+1/2,y,-z+1/2'
'x+1/2,-y+1/2,-z+1/2'
'-x+1/2,y+1/2,z+1/2'
'-x,y+1/2,-z'
'x,-y+1/2,z'
loop_
_atom_site_label
_atom_site_fract_x
_atom_site_fract_y
_atom_site_fract_z
La1 0.2228 0.2500 0.0020
Pm1 0.1069 0.5643 0.1841
Pm2 0.2425 0.7500 0.8623
Tl1 0.0000 0.0000 0.5000
```

***

The structure with the least stability is 1.